[1]
# BaLa2Te4

Crystalline BaLa2Te4 at its relaxed geometry (PBE, Alexandria via LeMat-Bulk).

For the distance to the lowest polymorph of the same formula, the calculation gives 0.15 eV per formula unit.

The structure belongs to space group Cmcm (No. 63); the cell edges are 4.674, 15.256 and 15.744 Å and the angles 90.00°, 90.00° and 90.00°. The asymmetric unit holds Ba at (0.000, 0.111, 0.250), La at (0.000, 0.366, 0.067), Te at (0.000, 0.000, 0.000), Te at (0.000, 0.270, 0.617) and Te at (0.000, 0.446, 0.250).


[2]
# Ba2LaTe3

Crystalline Ba2LaTe3 at its relaxed geometry (PBE, Alexandria via LeMat-Bulk).

The structure belongs to space group C2/m (No. 12); the cell edges are 8.362, 14.475 and 8.428 Å and the angles 90.00°, 109.33° and 90.00°. The asymmetric unit holds Ba at (0.000, 0.000, 0.000), Ba at (0.000, 0.162, 0.500), Ba at (0.000, 0.500, 0.500), La at (0.000, 0.332, 0.000), Te at (0.229, 0.500, 0.230) and Te at (0.248, 0.326, 0.765).


[3]
# BaLa2Te3

Crystalline BaLa2Te3 at its relaxed geometry (PBE, Alexandria via LeMat-Bulk).

The structure belongs to space group Immm (No. 71); the cell edges are 4.665, 6.658 and 14.196 Å and the angles 90.00°, 90.00° and 90.00°. The asymmetric unit holds Ba at (0.000, 0.000, 0.000), La at (0.000, 0.000, 0.338), Te at (0.000, 0.500, 0.000) and Te at (0.000, 0.500, 0.322).


[4]
# BaLaTe2

Crystalline BaLaTe2 at its relaxed geometry (PBE, Alexandria via LeMat-Bulk).

For the distance to the lowest polymorph of the same formula, the calculation gives 0.60 eV per formula unit.

The structure belongs to space group P4/mmm (No. 123); the cell edges are 4.061, 4.061 and 8.253 Å and the angles 90.00°, 90.00° and 90.00°. The asymmetric unit holds Ba at (0.000, 0.000, 0.000), La at (0.000, 0.000, 0.500) and Te at (0.500, 0.500, 0.271).


Number 1: ρ 5.476 g cm⁻³, formation energy (no corrections) -1634 meV/atom. Number 2: ρ 5.495 g cm⁻³, formation energy (no corrections) -1692 meV/atom. Number 3: ρ 6.009 g cm⁻³, formation energy (no corrections) -1615 meV/atom. Number 4: ρ 6.483 g cm⁻³, formation energy (no corrections) -1511 meV/atom.